# 1
Below is an optimized crystal structure of MgOsPd2Au, with properties calculated at the PBE-GGA level.

Values from the calculation:
For the density of states at the Fermi level, the calculation gives 6.30 states/eV/f.u. For the formation energy, the calculation gives 6.4 eV per formula unit.

Unit cell a=4.4934 b=4.4934 c=4.7319 alpha=90.00 beta=90.00 gamma=90.00
Space group P4/mmm (No. 123)
Inequivalent atoms, fractional coordinates:
Mg1 0.0000 0.0000 0.0000 x1
Os1 0.0000 0.0000 0.5000 x1
Pd1 0.0000 0.5000 0.0000 x2
Au1 0.5000 0.5000 0.5000 x1

=====

# 2
Below is an optimized crystal structure of Mg2ReOsAu, with properties calculated at the PBE-GGA level.

Values from the calculation:
For the density of states at the Fermi level, the calculation gives 4.08 states/eV/f.u. For the formation energy, the calculation gives 6.2 eV per formula unit.

Unit cell a=4.9911 b=4.9911 c=4.6435 alpha=90.00 beta=90.00 gamma=90.00
Space group P4/mmm (No. 123)
Inequivalent atoms, fractional coordinates:
Mg1 0.0000 0.5000 0.0000 x2
Re1 0.0000 0.0000 0.0000 x1
Os1 0.0000 0.0000 0.5000 x1
Au1 0.5000 0.5000 0.5000 x1

=====

| no. | magnetization (μB/f.u.) |
| --- | --- |
| 1 | 2.065 |
| 2 | 1.335 |